[1]
First-principles (PBE) data for a geometry-optimized NaI4 structure, as listed in Alexandria.

## Properties
- raw formation energy (meV per atom) = 8
- total energy (eV per cell) = -7.48
- ρ (g/cm³) = 4.0

Unit cell a=6.020 b=6.020 c=6.020 alpha=90.00 beta=90.00 gamma=90.00
Site moments in Bohr magnetons follow the coordinates.
Element x y z (fractional)
I1 0.500 0.500 0.000  0.42
I2 0.000 0.500 0.500  0.42
I3 0.000 0.000 0.000  0.65
I4 0.500 0.000 0.500  0.42
Na1 0.500 0.500 0.500  0.00


[2]
First-principles (PBE) data for a geometry-optimized NaI structure, as listed in Alexandria.

## Properties
- raw formation energy (meV per atom) = -1103
- total energy (eV per cell) = -5.07
- ρ (g/cm³) = 3.7

Unit cell a=4.062 b=4.062 c=4.062 alpha=90.00 beta=90.00 gamma=90.00
Element x y z (fractional)
I1 0.500 0.500 0.500
Na1 0.000 0.000 0.000


[3]
First-principles (PBE) data for a geometry-optimized NaI structure, as listed in Alexandria.

## Properties
- raw formation energy (meV per atom) = -1197
- total energy (eV per cell) = -31.57
- ρ (g/cm³) = 2.2

Unit cell a=12.019 b=12.019 c=5.307 alpha=90.00 beta=90.00 gamma=120.00
Element x y z (fractional)
I1 0.681 0.600 0.250
I2 0.600 0.919 0.750
I3 0.319 0.400 0.750
I4 0.400 0.081 0.250
I5 0.081 0.681 0.750
I6 0.919 0.319 0.250
Na1 0.929 0.586 0.250
Na2 0.414 0.343 0.250
Na3 0.657 0.071 0.250
Na4 0.343 0.929 0.750
Na5 0.586 0.657 0.750
Na6 0.071 0.414 0.750


[4]
First-principles (PBE) data for a geometry-optimized NaI structure, as listed in Alexandria.

## Properties
- raw formation energy (meV per atom) = -1208
- total energy (eV per cell) = -21.14
- ρ (g/cm³) = 2.6

Unit cell a=8.496 b=8.496 c=5.270 alpha=90.00 beta=90.00 gamma=90.00
Element x y z (fractional)
Na1 0.825 0.825 0.500
Na2 0.325 0.675 0.000
Na3 0.175 0.175 0.500
Na4 0.675 0.325 0.000
I1 0.692 0.692 0.000
I2 0.308 0.308 0.000
I3 0.192 0.808 0.500
I4 0.808 0.192 0.500


[5]
First-principles (PBE) data for a geometry-optimized NaI3 structure, as listed in Alexandria.

## Properties
- raw formation energy (meV per atom) = -597
- total energy (eV per cell) = -33.43
- ρ (g/cm³) = 3.4
- relative energy among the computed polymorphs (meV/atom) = 0

Unit cell a=9.461 b=9.110 c=9.941 alpha=90.00 beta=113.44 gamma=90.00
Element x y z (fractional)
I1 0.377 0.849 0.431
I2 0.676 0.193 0.078
I3 0.176 0.307 0.078
I4 0.824 0.693 0.922
I5 0.123 0.349 0.569
I6 0.324 0.807 0.922
I7 0.296 0.576 0.272
I8 0.704 0.424 0.728
I9 0.796 0.924 0.272
I10 0.623 0.151 0.569
I11 0.877 0.651 0.431
I12 0.204 0.076 0.728
Na1 0.431 0.049 0.191
Na2 0.569 0.951 0.809
Na3 0.931 0.451 0.191
Na4 0.069 0.549 0.809


[6]
First-principles (PBE) data for a geometry-optimized NaI3 structure, as listed in Alexandria.

## Properties
- raw formation energy (meV per atom) = -458
- total energy (eV per cell) = -7.80
- ρ (g/cm³) = 3.4
- relative energy among the computed polymorphs (meV/atom) = 139

Unit cell a=5.427 b=8.136 c=4.430 alpha=90.00 beta=90.00 gamma=90.00
Element x y z (fractional)
Na1 0.500 0.000 0.427
I1 0.500 0.500 0.343
I2 0.000 0.500 0.548
I3 0.000 0.000 0.015


[7]
First-principles (PBE) data for a geometry-optimized NaI structure, as listed in Alexandria.

## Properties
- raw formation energy (meV per atom) = -1194
- total energy (eV per cell) = -42.05
- ρ (g/cm³) = 2.3

Unit cell a=12.885 b=12.885 c=5.243 alpha=90.00 beta=90.00 gamma=90.00
Element x y z (fractional)
Na1 0.369 0.795 0.000
Na2 0.295 0.131 0.500
Na3 0.705 0.869 0.500
Na4 0.631 0.205 0.000
Na5 0.795 0.631 0.000
Na6 0.869 0.295 0.500
Na7 0.205 0.369 0.000
Na8 0.131 0.705 0.500
I1 0.107 0.285 0.500
I2 0.715 0.107 0.500
I3 0.607 0.785 0.000
I4 0.785 0.393 0.000
I5 0.893 0.715 0.500
I6 0.215 0.607 0.000
I7 0.393 0.215 0.000
I8 0.285 0.893 0.500


[8]
First-principles (PBE) data for a geometry-optimized NaI structure, as listed in Alexandria.

## Properties
- raw formation energy (meV per atom) = -1259
- total energy (eV per cell) = -5.39
- ρ (g/cm³) = 3.6

Unit cell a=4.613 b=4.613 c=4.613 alpha=60.00 beta=60.00 gamma=60.00
Element x y z (fractional)
I1 0.500 0.500 0.500
Na1 0.000 0.000 0.000


[9]
First-principles (PBE) data for a geometry-optimized NaI3 structure, as listed in Alexandria.

## Properties
- raw formation energy (meV per atom) = -369
- total energy (eV per cell) = -7.45
- ρ (g/cm³) = 4.1
- relative energy among the computed polymorphs (meV/atom) = 228

Unit cell a=4.354 b=8.423 c=6.525 alpha=130.20 beta=109.49 gamma=90.00
Element x y z (fractional)
I1 0.252 0.587 0.503
I2 0.500 0.552 0.000
I3 0.748 0.084 0.497
Na1 0.000 0.944 0.000


[10]
First-principles (PBE) data for a geometry-optimized NaI structure, as listed in Alexandria.

## Properties
- raw formation energy (meV per atom) = -1141
- total energy (eV per cell) = -10.30
- ρ (g/cm³) = 2.8

Unit cell a=9.597 b=9.597 c=9.597 alpha=153.31 beta=153.31 gamma=38.10
Element x y z (fractional)
Na1 0.250 0.750 0.500
Na2 0.500 0.500 0.000
I1 0.750 0.250 0.500
I2 0.000 0.000 0.000


[11]
First-principles (PBE) data for a geometry-optimized Na3I4 structure, as listed in Alexandria.

## Properties
- raw formation energy (meV per atom) = -965
- total energy (eV per cell) = -16.91
- ρ (g/cm³) = 3.6

Unit cell a=4.590 b=4.590 c=13.127 alpha=102.39 beta=96.55 gamma=93.44
Site moments in Bohr magnetons follow the coordinates.
Element x y z (fractional)
Na1 0.699 0.676 0.375  0.00
Na2 0.000 0.000 0.000  0.00
Na3 0.301 0.324 0.625  0.00
I1 0.195 0.174 0.370  0.06
I2 0.559 0.322 0.880  0.27
I3 0.805 0.826 0.630  0.06
I4 0.441 0.678 0.120  0.27


[12]
First-principles (PBE) data for a geometry-optimized NaI3 structure, as listed in Alexandria.

## Properties
- raw formation energy (meV per atom) = -284
- total energy (eV per cell) = -14.21
- ρ (g/cm³) = 3.9
- relative energy among the computed polymorphs (meV/atom) = 313

Unit cell a=8.844 b=8.844 c=7.647 alpha=54.67 beta=54.67 gamma=90.00
Site moments in Bohr magnetons follow the coordinates.
Element x y z (fractional)
I1 0.750 0.250 0.500  0.67
I2 0.154 0.625 0.250  0.34
I3 0.875 0.846 0.750  0.34
I4 0.375 0.404 0.750  0.32
I5 0.596 0.125 0.250  0.31
I6 0.000 0.000 0.000  0.67
Na1 0.500 0.500 0.000  0.00
Na2 0.250 0.750 0.500  0.00


The highest ρ belongs to which entry?
number 9


What is the total energy in the seventh record?
-42.05 eV per cell


Which value of total energy does entry 9 give?
-7.45 eV per cell


Copy entry 10 word for word.
First-principles (PBE) data for a geometry-optimized NaI structure, as listed in Alexandria.

## Properties
- raw formation energy (meV per atom) = -1141
- total energy (eV per cell) = -10.30
- ρ (g/cm³) = 2.8

Unit cell a=9.597 b=9.597 c=9.597 alpha=153.31 beta=153.31 gamma=38.10
Element x y z (fractional)
Na1 0.250 0.750 0.500
Na2 0.500 0.500 0.000
I1 0.750 0.250 0.500
I2 0.000 0.000 0.000